[1]
Below is a geometry-optimized SrGdGaAg structure, with properties calculated at the PBE level.

abc: 5.3209 5.3209 5.3209
angles: 60.00 60.00 60.00
With the nearest neighbours (Å) after each atom.
Fractional positions:
Sr1 0.5000 0.5000 0.5000  4 Ag 3.26, 4 Ga 3.26
Gd1 0.0000 0.0000 0.0000  4 Ga 3.26, 4 Ag 3.26
Ga1 0.7500 0.7500 0.7500  4 Sr 3.26, 4 Gd 3.26
Ag1 0.2500 0.2500 0.2500  4 Gd 3.26, 4 Sr 3.26

Energy of formation from the pure elements in eV per atom: -0.330
DOS(E_F) in states/eV per cell: 3.7
Raw total energy in eV per atom: -5.74
Space group: F-43m



[2]
Below is a geometry-optimized GaSiGe2 structure, with properties calculated at the PBE level.

abc: 2.9093 2.9093 10.2046
angles: 81.80 81.80 60.00
With the nearest neighbours (Å) after each atom.
Fractional positions:
Ge1 0.0842 0.0842 0.7473  1 Si 2.54
Ge2 0.9158 0.9158 0.2527  1 Si 2.54
Si1 0.0000 0.0000 0.0000  2 Ge 2.54
Ga1 0.5000 0.5000 0.5000  6 Ga 2.91, 6 Ge 3.00

DOS(E_F) in states/eV per cell: 1.7
Raw total energy in eV per atom: -4.13
Space group: R-3m
Energy relative to the elements, uncorrected in eV per atom: 0.287



[3]
Below is a geometry-optimized HoEr3Hg2 structure, with properties calculated at the PBE level.

abc: 5.0703 6.9989 9.1557
angles: 90.00 90.00 90.00
With the nearest neighbours (Å) after each atom.
Fractional positions:
Ho1 0.5000 0.5157 0.5546  3 Hg 3.12-3.21, 1 Er 3.47
Ho2 0.5000 0.0157 0.4454  3 Hg 3.12-3.21, 1 Er 3.47
Er1 0.0000 0.4841 0.9452  3 Hg 3.12-3.21, 1 Er 3.46
Er2 0.0000 0.9841 0.0548  3 Hg 3.12-3.21, 1 Er 3.46
Er3 0.5000 0.6700 0.1744  4 Hg 3.00-3.07
Er4 0.5000 0.1700 0.8256  4 Hg 3.00-3.07
Er5 0.0000 0.3302 0.3245  4 Hg 3.01-3.07
Er6 0.0000 0.8302 0.6755  4 Hg 3.01-3.07
Hg1 0.5000 0.7370 0.8507  6 Er 3.00-3.21, 1 Ho 3.12
Hg2 0.5000 0.2370 0.1493  6 Er 3.00-3.21, 1 Ho 3.12
Hg3 0.0000 0.2629 0.6494  5 Er 3.01-3.12, 2 Ho 3.21
Hg4 0.0000 0.7629 0.3506  5 Er 3.01-3.12, 2 Ho 3.21

Energy of formation from the pure elements in eV per atom: -0.365
DOS(E_F) in states/eV per cell: 4.3
Raw total energy in eV per atom: -3.51
Space group: Pmc2_1



[4]
Below is a geometry-optimized SrCoRh3 structure, with properties calculated at the PBE level.

abc: 4.6096 4.6096 4.6096
angles: 90.00 90.00 90.00
With the nearest neighbours (Å) after each atom.
Fractional positions:
Sr1 0.5000 0.5000 0.5000  12 Rh 3.26
Rh1 0.0000 0.5000 0.0000  2 Co 2.30
Rh2 0.0000 0.0000 0.5000  2 Co 2.30
Rh3 0.5000 0.0000 0.0000  2 Co 2.30
Co1 0.0000 0.0000 0.0000  6 Rh 2.30

Energy of formation from the pure elements in eV per atom: 0.363
DOS(E_F) in states/eV per cell: 4.9
Raw total energy in eV per atom: -5.81
Space group: Pm-3m



[5]
Below is a geometry-optimized SbW2S structure, with properties calculated at the PBE level.

abc: 4.5344 4.5344 4.5344
angles: 60.00 60.00 60.00
With the nearest neighbours (Å) after each atom.
Fractional positions:
Sb1 0.5000 0.5000 0.5000  8 W 2.78
S1 0.0000 0.0000 0.0000  8 W 2.78
W1 0.2500 0.2500 0.2500  4 S 2.78, 4 Sb 2.78
W2 0.7500 0.7500 0.7500  4 S 2.78, 4 Sb 2.78

DOS(E_F) in states/eV per cell: 4.4
Raw total energy in eV per atom: -7.89
Space group: Fm-3m
Energy relative to the elements, uncorrected in eV per atom: 0.644



[6]
Below is a geometry-optimized NaV2PbC structure, with properties calculated at the PBE level.

abc: 4.1118 5.3911 4.1118
angles: 90.00 90.00 90.00
With the nearest neighbours (Å) after each atom.
Fractional positions:
Pb1 0.0000 0.5000 0.0000  2 C 2.70, 4 Na 2.91
Na1 0.5000 0.5000 0.5000  4 Pb 2.91
C1 0.0000 0.0000 0.0000  4 V 2.06
V1 0.0000 0.0000 0.5000  2 C 2.06
V2 0.5000 0.0000 0.0000  2 C 2.06

Energy of formation from the pure elements in eV per atom: 0.621
DOS(E_F) in states/eV per cell: 3.8
Raw total energy in eV per atom: -5.88
Space group: P4/mmm



[7]
Below is a geometry-optimized Mg4FeTc structure, with properties calculated at the PBE level.

abc: 5.3449 5.3449 5.3449
angles: 60.00 60.00 60.00
With the nearest neighbours (Å) after each atom.
Fractional positions:
Mg1 0.8741 0.3753 0.3753  6 Mg 2.67-2.68
Mg2 0.3753 0.3753 0.8741  6 Mg 2.67-2.68
Mg3 0.3753 0.8741 0.3753  6 Mg 2.67-2.68
Mg4 0.3753 0.3753 0.3753  6 Mg 2.67-2.68
Fe1 0.0000 0.0000 0.0000  12 Mg 3.13, 4 Tc 3.27
Tc1 0.7500 0.7500 0.7500  12 Mg 3.13, 4 Fe 3.27

Energy of formation from the pure elements in eV per atom: 0.652
DOS(E_F) in states/eV per cell: 4.0
Raw total energy in eV per atom: -3.55
Space group: F-43m



[8]
Below is a geometry-optimized BC3 structure, with properties calculated at the PBE level.

abc: 2.5040 3.7610 5.2613
angles: 90.00 90.00 90.00
With the nearest neighbours (Å) after each atom.
Fractional positions:
B1 0.5000 0.5426 0.2500  2 C 1.62, 2 B 1.78
B2 0.0000 0.2074 0.2500  2 C 1.62, 2 B 1.78
C1 0.0000 0.9907 0.9834  3 C 1.52-1.59, 1 B 1.62
C2 0.5000 0.7593 0.9834  3 C 1.52-1.59, 1 B 1.62
C3 0.5000 0.4927 0.7500  4 C 1.53-1.59
C4 0.0000 0.2573 0.7500  4 C 1.53-1.59
C5 0.0000 0.9907 0.5166  3 C 1.52-1.59, 1 B 1.62
C6 0.5000 0.7593 0.5166  3 C 1.52-1.59, 1 B 1.62

Energy of formation from the pure elements in eV per atom: 0.313
DOS(E_F) in states/eV per cell: 1.5
Raw total energy in eV per atom: -8.27
Space group: Pmma



[9]
Below is a geometry-optimized KGe3As3 structure, with properties calculated at the PBE level.

abc: 7.9069 7.9069 8.8991
angles: 63.62 63.62 60.00
With the nearest neighbours (Å) after each atom.
Fractional positions:
K1 0.3328 0.3328 0.0015  6 As 3.47-3.48, 6 Ge 3.87
K2 0.6672 0.6672 0.9985  6 As 3.47-3.48, 6 Ge 3.87
Ge1 0.4537 0.7914 0.6293  4 As 2.55-2.72
Ge2 0.7914 0.1256 0.6293  4 As 2.55-2.72
Ge3 0.1256 0.4537 0.6293  4 As 2.55-2.72
Ge4 0.8744 0.5463 0.3707  4 As 2.55-2.72
Ge5 0.2086 0.8744 0.3707  4 As 2.55-2.72
Ge6 0.5463 0.2086 0.3707  4 As 2.55-2.72
As1 0.2346 0.5687 0.2958  4 Ge 2.55-2.72
As2 0.9008 0.2346 0.2958  4 Ge 2.55-2.72
As3 0.5687 0.9008 0.2958  4 Ge 2.55-2.72
As4 0.4313 0.0992 0.7042  4 Ge 2.55-2.72
As5 0.0992 0.7654 0.7042  4 Ge 2.55-2.72
As6 0.7654 0.4313 0.7042  4 Ge 2.55-2.72

Energy of formation from the pure elements in eV per atom: -0.064
DOS(E_F) in states/eV per cell: 3.5
Raw total energy in eV per atom: -4.19
Space group: R-3



[10]
Below is a geometry-optimized Ba2Mg structure, with properties calculated at the PBE level.

abc: 7.4058 7.4058 7.4058
angles: 104.93 104.93 119.00
With the nearest neighbours (Å) after each atom.
Fractional positions:
Ba1 0.1721 0.3279 0.5000  4 Mg 3.83, 2 Ba 4.25
Ba2 0.3279 0.8279 0.1557  4 Mg 3.83, 2 Ba 4.25
Ba3 0.6721 0.1721 0.8443  4 Mg 3.83, 2 Ba 4.25
Ba4 0.8279 0.6721 0.5000  4 Mg 3.83, 2 Ba 4.25
Mg1 0.2500 0.2500 0.0000  2 Mg 3.76, 8 Ba 3.83
Mg2 0.7500 0.7500 0.0000  2 Mg 3.76, 8 Ba 3.83

Energy of formation from the pure elements in eV per atom: 0.015
DOS(E_F) in states/eV per cell: 8.6
Raw total energy in eV per atom: -1.80
Space group: I4/mcm



[11]
Below is a geometry-optimized BaZn3Rh structure, with properties calculated at the PBE level.

abc: 9.4023 9.4023 9.4023
angles: 60.00 60.00 60.00
With the nearest neighbours (Å) after each atom.
Fractional positions:
Zn1 0.8327 0.1673 0.1673  2 Rh 2.42
Zn2 0.0827 0.4173 0.4173  2 Rh 2.42
Zn3 0.4173 0.4173 0.0827  2 Rh 2.42
Zn4 0.4173 0.0827 0.0827  2 Rh 2.42
Zn5 0.0827 0.4173 0.0827  2 Rh 2.42
Zn6 0.8327 0.1673 0.8327  2 Rh 2.42
Zn7 0.4173 0.0827 0.4173  2 Rh 2.42
Zn8 0.0827 0.0827 0.4173  2 Rh 2.42
Zn9 0.1673 0.8327 0.1673  2 Rh 2.42
Zn10 0.1673 0.8327 0.8327  2 Rh 2.42
Zn11 0.1673 0.1673 0.8327  2 Rh 2.42
Zn12 0.8327 0.8327 0.1673  2 Rh 2.42
Rh1 0.1250 0.1250 0.1250  6 Zn 2.42
Rh2 0.1250 0.6250 0.1250  6 Zn 2.42
Rh3 0.6250 0.1250 0.1250  6 Zn 2.42
Rh4 0.1250 0.1250 0.6250  6 Zn 2.42
Ba1 0.6250 0.6250 0.6250  6 Zn 3.63
Ba2 0.6250 0.1250 0.6250  6 Zn 3.63
Ba3 0.1250 0.6250 0.6250  6 Zn 3.63
Ba4 0.6250 0.6250 0.1250  6 Zn 3.63

Energy of formation from the pure elements in eV per atom: -0.052
DOS(E_F) in states/eV per cell: 9.5
Raw total energy in eV per atom: -2.67
Space group: Fd-3m



[12]
Below is a geometry-optimized ErAgSn structure, with properties calculated at the PBE level.

abc: 3.5194 3.5194 6.2602
angles: 106.33 106.33 90.00
With the nearest neighbours (Å) after each atom.
Fractional positions:
Sn1 0.9386 0.9386 0.8772  4 Ag 3.06, 4 Er 3.30
Ag1 0.2844 0.2844 0.5687  4 Sn 3.06, 4 Er 3.08
Er1 0.6270 0.6270 0.2540  4 Ag 3.08, 4 Sn 3.30

Energy of formation from the pure elements in eV per atom: -0.298
DOS(E_F) in states/eV per cell: 1.8
Raw total energy in eV per atom: -4.10
Space group: I4mm



- The lowest DOS(E_F) belongs to which entry?
  BC3



- Among the records above, which one has the lowest DOS(E_F)?
  BC3



Copy entry 3 word for word.
Below is a geometry-optimized HoEr3Hg2 structure, with properties calculated at the PBE level.

abc: 5.0703 6.9989 9.1557
angles: 90.00 90.00 90.00
With the nearest neighbours (Å) after each atom.
Fractional positions:
Ho1 0.5000 0.5157 0.5546  3 Hg 3.12-3.21, 1 Er 3.47
Ho2 0.5000 0.0157 0.4454  3 Hg 3.12-3.21, 1 Er 3.47
Er1 0.0000 0.4841 0.9452  3 Hg 3.12-3.21, 1 Er 3.46
Er2 0.0000 0.9841 0.0548  3 Hg 3.12-3.21, 1 Er 3.46
Er3 0.5000 0.6700 0.1744  4 Hg 3.00-3.07
Er4 0.5000 0.1700 0.8256  4 Hg 3.00-3.07
Er5 0.0000 0.3302 0.3245  4 Hg 3.01-3.07
Er6 0.0000 0.8302 0.6755  4 Hg 3.01-3.07
Hg1 0.5000 0.7370 0.8507  6 Er 3.00-3.21, 1 Ho 3.12
Hg2 0.5000 0.2370 0.1493  6 Er 3.00-3.21, 1 Ho 3.12
Hg3 0.0000 0.2629 0.6494  5 Er 3.01-3.12, 2 Ho 3.21
Hg4 0.0000 0.7629 0.3506  5 Er 3.01-3.12, 2 Ho 3.21

Energy of formation from the pure elements in eV per atom: -0.365
DOS(E_F) in states/eV per cell: 4.3
Raw total energy in eV per atom: -3.51
Space group: Pmc2_1



Please write out number 2 again, unchanged.
Below is a geometry-optimized GaSiGe2 structure, with properties calculated at the PBE level.

abc: 2.9093 2.9093 10.2046
angles: 81.80 81.80 60.00
With the nearest neighbours (Å) after each atom.
Fractional positions:
Ge1 0.0842 0.0842 0.7473  1 Si 2.54
Ge2 0.9158 0.9158 0.2527  1 Si 2.54
Si1 0.0000 0.0000 0.0000  2 Ge 2.54
Ga1 0.5000 0.5000 0.5000  6 Ga 2.91, 6 Ge 3.00

DOS(E_F) in states/eV per cell: 1.7
Raw total energy in eV per atom: -4.13
Space group: R-3m
Energy relative to the elements, uncorrected in eV per atom: 0.287